Material: Dy2ZnIn
Method: DFT, PBE
State: relaxed

Results
formation enthalpy at 0 K: -0.92 eV per formula unit
SG: R-3m, No. 166
calculated density: 7.82 Mg/m³
VASP energy: -3.54 eV per atom

Unit cell a=3.660 b=3.660 c=9.489 alpha=78.88 beta=78.88 gamma=60.00
Atoms (fractional coordinates):
In (0.500, 0.500, 0.500)
Dy (0.745, 0.745, 0.766)
Dy (0.255, 0.255, 0.234)
Zn (0.000, 0.000, 0.000)

---

Material: Dy3Zn8In
Method: DFT, PBE
State: relaxed

Results
formation enthalpy at 0 K: -3.27 eV per formula unit
SG: R3m, No. 160
calculated density: 8.16 Mg/m³
VASP energy: -2.50 eV per atom

Unit cell a=5.479 b=5.479 c=9.356 alpha=72.97 beta=72.97 gamma=60.00
Atoms (fractional coordinates):
Dy (0.995, 0.995, 0.014)
Dy (0.377, 0.377, 0.869)
Dy (0.503, 0.503, 0.492)
Zn (0.187, 0.187, 0.439)
Zn (0.689, 0.689, 0.934)
Zn (0.938, 0.439, 0.183)
Zn (0.439, 0.439, 0.183)
Zn (0.431, 0.940, 0.690)
Zn (0.439, 0.938, 0.183)
Zn (0.940, 0.431, 0.690)
Zn (0.940, 0.940, 0.690)
In (0.873, 0.873, 0.382)

---

Material: Dy2Zn16In
Method: DFT, PBE
State: relaxed

Results
formation enthalpy at 0 K: -4.04 eV per formula unit
SG: R3m, No. 160
calculated density: 7.86 Mg/m³
VASP energy: -1.91 eV per atom

Unit cell a=6.843 b=6.843 c=6.843 alpha=83.10 beta=83.10 gamma=83.10
Atoms (fractional coordinates):
Dy (0.336, 0.336, 0.336)
Dy (0.660, 0.660, 0.660)
Zn (0.350, 0.835, 0.350)
Zn (0.645, 0.645, 0.171)
Zn (0.350, 0.350, 0.835)
Zn (0.000, 0.306, 0.695)
Zn (0.106, 0.106, 0.106)
Zn (0.489, 0.006, 0.006)
Zn (0.695, 0.000, 0.306)
Zn (0.645, 0.171, 0.645)
Zn (0.006, 0.006, 0.489)
Zn (0.171, 0.645, 0.645)
Zn (0.695, 0.306, 0.000)
Zn (0.006, 0.489, 0.006)
Zn (0.306, 0.695, 0.000)
Zn (0.835, 0.350, 0.350)
Zn (0.000, 0.695, 0.306)
Zn (0.306, 0.000, 0.695)
In (0.901, 0.901, 0.901)

---

Material: Dy2Zn6In
Method: DFT, PBE
State: relaxed

Results
formation enthalpy at 0 K: -2.58 eV per formula unit
SG: P-3m1, No. 164
calculated density: 8.03 Mg/m³
VASP energy: -2.46 eV per atom

Unit cell a=5.870 b=5.815 c=5.817 alpha=119.99 beta=89.98 gamma=90.00
Atoms (fractional coordinates):
Zn (0.653, 0.183, 0.366)
Zn (0.653, 0.634, 0.817)
Zn (0.347, 0.366, 0.183)
Zn (0.347, 0.817, 0.183)
Zn (0.653, 0.183, 0.817)
Zn (0.347, 0.817, 0.634)
Dy (0.851, 0.667, 0.333)
Dy (0.149, 0.333, 0.667)
In (0.000, 0.000, 0.000)

---

Question: Which value of formation enthalpy at 0 K does entry 3 give?
Answer: -4.04 eV per formula unit

---

Question: Which of these has the highest formation enthalpy at 0 K?
Answer: Dy2ZnIn

---

Question: formation enthalpy at 0 K of number 1 (Dy2ZnIn)?
Answer: -0.92 eV per formula unit

---

Question: Among the records above, which one has the highest calculated density?
Answer: Dy3Zn8In